[1]
# NaTbGaS3 (PBE-GGA, relaxed)
# VASP energy ... -4.76 eV/atom
data_NaTbGaS3
_chemical_formula_sum 'Na4 Tb4 Ga4 S12'
_symmetry_space_group_name_H-M 'C m c m'
_symmetry_Int_Tables_number 63
_symmetry_space_group_name_Hall '-C 2c 2'
_cell_length_a 4.263
_cell_length_b 12.622
_cell_length_c 10.531
_cell_angle_alpha 90.00
_cell_angle_beta 90.00
_cell_angle_gamma 90.00
loop_
_atom_site_label
_atom_site_type_symbol
_atom_site_fract_x
_atom_site_fract_y
_atom_site_fract_z
Na1 Na 0.000 0.247 0.250
Tb1 Tb 0.000 0.500 0.000
Ga1 Ga 0.000 0.014 0.750
S1 S 0.000 0.132 0.575
S2 S 0.000 0.428 0.750


[2]
# Na2ZrGaS4 (PBE-GGA, relaxed)
# VASP energy ... -4.90 eV/atom
data_Na2ZrGaS4
_chemical_formula_sum 'Na4 Zr2 Ga2 S8'
_symmetry_space_group_name_H-M 'I -4'
_symmetry_Int_Tables_number 82
_cell_length_a 6.431
_cell_length_b 6.431
_cell_length_c 10.054
_cell_angle_alpha 90.00
_cell_angle_beta 90.00
_cell_angle_gamma 90.00
loop_
_symmetry_equiv_pos_as_xyz
'x,y,z'
'y,-x,-z'
'-x,-y,z'
'-y,x,-z'
'x+1/2,y+1/2,z+1/2'
'y+1/2,-x+1/2,-z+1/2'
'-x+1/2,-y+1/2,z+1/2'
'-y+1/2,x+1/2,-z+1/2'
loop_
_atom_site_label
_atom_site_type_symbol
_atom_site_fract_x
_atom_site_fract_y
_atom_site_fract_z
Na1 Na 0.000 0.000 0.000
Na2 Na 0.000 0.500 0.250
Zr1 Zr 0.000 0.500 0.750
Ga1 Ga 0.000 0.000 0.500
S1 S 0.199 0.755 0.622


[3]
# NaTbGaSe3 (PBE-GGA, relaxed)
# VASP energy ... -4.37 eV/atom
data_NaTbGaSe3
_chemical_formula_sum 'Na4 Tb4 Ga4 Se12'
_symmetry_space_group_name_H-M 'C m c m'
_symmetry_Int_Tables_number 63
_symmetry_space_group_name_Hall '-C 2c 2'
_cell_length_a 4.494
_cell_length_b 13.171
_cell_length_c 10.951
_cell_angle_alpha 90.00
_cell_angle_beta 90.00
_cell_angle_gamma 90.00
loop_
_atom_site_label
_atom_site_type_symbol
_atom_site_fract_x
_atom_site_fract_y
_atom_site_fract_z
Na1 Na 0.000 0.245 0.250
Tb1 Tb 0.000 0.000 0.000
Ga1 Ga 0.000 0.490 0.750
Se1 Se 0.000 0.079 0.750
Se2 Se 0.000 0.367 0.572


[4]
# Na4Zn2GaSn (PBE-GGA, relaxed)
# VASP energy ... -1.91 eV/atom
data_Na4Zn2GaSn
_chemical_formula_sum 'Na4 Zn2 Ga1 Sn1'
_symmetry_space_group_name_H-M 'P -4 m 2'
_symmetry_Int_Tables_number 115
_cell_length_a 4.918
_cell_length_b 4.918
_cell_length_c 7.016
_cell_angle_alpha 90.00
_cell_angle_beta 90.00
_cell_angle_gamma 90.00
loop_
_symmetry_equiv_pos_as_xyz
'x,y,z'
'y,-x,-z'
'-x,-y,z'
'-y,x,-z'
'-x,y,z'
'-y,-x,-z'
'x,-y,z'
'y,x,-z'
loop_
_atom_site_label
_atom_site_type_symbol
_atom_site_fract_x
_atom_site_fract_y
_atom_site_fract_z
Na1 Na 0.000 0.000 0.000
Na2 Na 0.000 0.500 0.236
Na3 Na 0.500 0.500 0.500
Zn1 Zn 0.000 0.500 0.761
Ga1 Ga 0.500 0.500 0.000
Sn1 Sn 0.000 0.000 0.500


[5]
# NaTaGa (PBE-GGA, relaxed)
# VASP energy ... -4.46 eV/atom
# Energy above the most stable polymorph in this dataset ... 0 meV/atom
data_NaTaGa
_chemical_formula_sum 'Na4 Ta4 Ga4'
_symmetry_space_group_name_H-M 'F -4 3 m'
_symmetry_Int_Tables_number 216
_symmetry_space_group_name_Hall 'F -4 2 3'
_cell_length_a 6.353
_cell_length_b 6.353
_cell_length_c 6.353
_cell_angle_alpha 90.00
_cell_angle_beta 90.00
_cell_angle_gamma 90.00
loop_
_atom_site_label
_atom_site_type_symbol
_atom_site_fract_x
_atom_site_fract_y
_atom_site_fract_z
Na1 Na 0.000 0.000 0.000
Ta1 Ta 0.000 0.000 0.500
Ga1 Ga 0.250 0.250 0.250


[6]
# NaTbGaTe3 (PBE-GGA, relaxed)
# VASP energy ... -3.90 eV/atom
# Energy above the most stable polymorph in this dataset ... 0 meV/atom
data_NaTbGaTe3
_chemical_formula_sum 'Na4 Tb4 Ga4 Te12'
_symmetry_space_group_name_H-M 'C m c m'
_symmetry_Int_Tables_number 63
_symmetry_space_group_name_Hall '-C 2c 2'
_cell_length_a 4.625
_cell_length_b 14.545
_cell_length_c 11.588
_cell_angle_alpha 90.00
_cell_angle_beta 90.00
_cell_angle_gamma 90.00
loop_
_atom_site_label
_atom_site_type_symbol
_atom_site_fract_x
_atom_site_fract_y
_atom_site_fract_z
Na1 Na 0.000 0.234 0.250
Tb1 Tb 0.000 0.000 0.000
Ga1 Ga 0.000 0.481 0.750
Te1 Te 0.000 0.086 0.750
Te2 Te 0.000 0.362 0.563


Question: Which value of VASP energy does entry 4 give?
Answer: -1.91 eV/atom


Repeat the sixth record exactly.
# NaTbGaTe3 (PBE-GGA, relaxed)
# VASP energy ... -3.90 eV/atom
# Energy above the most stable polymorph in this dataset ... 0 meV/atom
data_NaTbGaTe3
_chemical_formula_sum 'Na4 Tb4 Ga4 Te12'
_symmetry_space_group_name_H-M 'C m c m'
_symmetry_Int_Tables_number 63
_symmetry_space_group_name_Hall '-C 2c 2'
_cell_length_a 4.625
_cell_length_b 14.545
_cell_length_c 11.588
_cell_angle_alpha 90.00
_cell_angle_beta 90.00
_cell_angle_gamma 90.00
loop_
_atom_site_label
_atom_site_type_symbol
_atom_site_fract_x
_atom_site_fract_y
_atom_site_fract_z
Na1 Na 0.000 0.234 0.250
Tb1 Tb 0.000 0.000 0.000
Ga1 Ga 0.000 0.481 0.750
Te1 Te 0.000 0.086 0.750
Te2 Te 0.000 0.362 0.563


Question: What is the VASP energy in the fourth record?
Answer: -1.91 eV/atom


Question: Look up the VASP energy of the first one.
Answer: -4.76 eV/atom